w.
! TbPmDyEr PBE relaxed; values from VASP
! density of states at the Fermi level	2.1579	states/eV per atom
! crystal system	cubic
! V	32.420	A^3/atom
&SYSTEM
  ibrav = 0, nat = 4, ntyp = 4
/
ATOMIC_SPECIES
Pm 145.00 Pm.upf
Tb 158.93 Tb.upf
Dy 162.50 Dy.upf
Er 167.26 Er.upf
CELL_PARAMETERS angstrom
5.6815 0.0000 0.0000
2.8407 4.9203 0.0000
2.8407 1.6401 4.6389
ATOMIC_POSITIONS angstrom
Pm 5.6815 3.2802 2.3194
Tb 0.0000 0.0000 0.0000
Dy 8.5222 4.9203 3.4792
Er 2.8407 1.6401 1.1597

***

x.
! TbPmDyEr PBE relaxed; values from VASP
! density of states at the Fermi level	1.9101	states/eV per atom
! crystal system	orthorhombic
! V	32.477	A^3/atom
&SYSTEM
  ibrav = 0, nat = 4, ntyp = 4
/
ATOMIC_SPECIES
Tb 158.93 Tb.upf
Dy 162.50 Dy.upf
Er 167.26 Er.upf
Pm 145.00 Pm.upf
CELL_PARAMETERS angstrom
-0.4204 -3.3991 -0.2808
6.6199 -0.7439 -0.9064
0.6988 -0.5451 5.5525
ATOMIC_POSITIONS angstrom
Tb 4.3689 -2.2218 -0.6751
Dy 1.3001 -0.1537 -0.0856
Er 3.3734 -0.6200 2.4543
Pm 6.5879 -0.9812 2.0141

***

Stability, highest: w

***

w.
! PmDyErTm PBE relaxed; values from VASP
! density of states at the Fermi level	1.8215	states/eV per atom
! crystal system	cubic
! V	31.960	A^3/atom
&SYSTEM
  ibrav = 0, nat = 4, ntyp = 4
/
ATOMIC_SPECIES
Tm 168.93 Tm.upf
Dy 162.50 Dy.upf
Er 167.26 Er.upf
Pm 145.00 Pm.upf
CELL_PARAMETERS angstrom
5.6545 0.0000 0.0000
2.8273 4.8969 0.0000
2.8273 1.6323 4.6169
ATOMIC_POSITIONS angstrom
Tm 2.8273 1.6323 1.1542
Dy 0.0000 0.0000 0.0000
Er 8.4818 4.8969 3.4627
Pm 5.6545 3.2646 2.3084

***

x.
! PmDyErTm PBE relaxed; values from VASP
! density of states at the Fermi level	1.4149	states/eV per atom
! crystal system	trigonal
! V	31.619	A^3/atom
&SYSTEM
  ibrav = 0, nat = 4, ntyp = 4
/
ATOMIC_SPECIES
Dy 162.50 Dy.upf
Er 167.26 Er.upf
Pm 145.00 Pm.upf
Tm 168.93 Tm.upf
CELL_PARAMETERS angstrom
-3.5198 -0.4753 -0.3474
2.2612 -1.8326 -2.0669
1.9505 -7.4494 8.7384
ATOMIC_POSITIONS angstrom
Dy 1.9309 -2.6711 -1.0571
Er 1.8683 -7.5900 6.3206
Pm -1.8278 -3.9286 2.1100
Tm -0.1474 -5.0972 4.9883

***

Stability, highest: x

***

w.
! PrDy2Er3 PBE relaxed; values from VASP
! density of states at the Fermi level	1.6460	states/eV per atom
! crystal system	monoclinic
! V	31.656	A^3/atom
&SYSTEM
  ibrav = 0, nat = 12, ntyp = 3
/
ATOMIC_SPECIES
Er 167.26 Er.upf
Dy 162.50 Dy.upf
Pr 140.91 Pr.upf
CELL_PARAMETERS angstrom
-4.3363 -3.1774 3.8519
4.4875 -4.8571 0.0876
3.6536 5.2774 6.2092
ATOMIC_POSITIONS angstrom
Er 2.1709 0.0635 6.9018
Er 2.5784 0.4999 3.7175
Er 1.2263 -3.2571 6.4312
Er 2.9320 3.4190 7.4505
Er 0.8727 -6.1762 2.6982
Er 1.6338 -2.8207 3.2469
Dy -0.7577 -0.6298 4.7430
Dy 5.4381 1.1772 5.9838
Dy 4.5624 -2.1274 5.4057
Dy -1.6333 -3.9344 4.1650
Pr -0.7637 0.6221 8.1537
Pr 4.5684 -3.3793 1.9950

***

x.
! PrDy2Er3 PBE relaxed; values from VASP
! density of states at the Fermi level	1.6358	states/eV per atom
! crystal system	monoclinic
! V	32.138	A^3/atom
&SYSTEM
  ibrav = 0, nat = 12, ntyp = 3
/
ATOMIC_SPECIES
Er 167.26 Er.upf
Dy 162.50 Dy.upf
Pr 140.91 Pr.upf
CELL_PARAMETERS angstrom
-1.2895 -3.2703 0.9153
5.3709 0.6564 9.9115
-9.6035 5.3635 -1.5739
ATOMIC_POSITIONS angstrom
Er 2.5012 0.8546 6.5772
Er -5.2176 3.2354 4.2095
Er -4.8857 2.1820 0.9133
Er -8.0233 1.8950 2.6757
Er -0.6364 0.5676 8.3397
Er -0.3045 -0.4858 5.0435
Dy -2.1655 2.4839 5.8242
Dy -3.3566 0.2657 3.4288
Dy -0.1620 0.5478 1.7291
Dy -5.3601 2.2018 7.5239
Pr 2.3642 -0.1568 9.9786
Pr -7.8863 2.9064 -0.7256

***

Stability, highest: x

***

w.
! Pr4Dy2Er PBE relaxed; values from VASP
! density of states at the Fermi level	1.5282	states/eV per atom
! crystal system	orthorhombic
! V	34.320	A^3/atom
&SYSTEM
  ibrav = 0, nat = 14, ntyp = 3
/
ATOMIC_SPECIES
Dy 162.50 Dy.upf
Er 167.26 Er.upf
Pr 140.91 Pr.upf
CELL_PARAMETERS angstrom
12.1608 -3.1186 -1.5621
-9.5243 8.1791 -1.5621
0.0227 0.0436 6.8604
ATOMIC_POSITIONS angstrom
Dy 10.2235 -2.0288 -1.2733
Dy 4.6876 0.5722 1.6524
Dy -7.5097 7.2378 2.1569
Dy -2.2059 4.1914 5.0826
Er 4.1488 1.3475 -1.7027
Er -1.2617 4.1941 1.7275
Pr 1.4392 -0.1361 0.4151
Pr 7.0160 -0.7582 4.5337
Pr -0.9249 1.1232 3.8453
Pr -4.6532 5.2937 1.1035
Pr -5.2966 5.9660 4.6192
Pr 1.1242 3.1578 -0.8641
Pr 1.9552 2.7526 2.5660
Pr 7.9130 -0.9438 1.1890

***

x.
! Pr4Dy2Er PBE relaxed; values from VASP
! density of states at the Fermi level	1.5163	states/eV per atom
! crystal system	monoclinic
! V	34.059	A^3/atom
&SYSTEM
  ibrav = 0, nat = 14, ntyp = 3
/
ATOMIC_SPECIES
Er 167.26 Er.upf
Dy 162.50 Dy.upf
Pr 140.91 Pr.upf
CELL_PARAMETERS angstrom
-1.5238 -5.3149 2.9457
1.1458 -3.4560 -5.6429
11.5289 1.0594 1.6921
ATOMIC_POSITIONS angstrom
Er 8.6386 -4.5139 2.5206
Er 2.5123 -3.1976 -3.5257
Dy 11.3975 -4.7730 -0.7567
Dy -0.2466 -2.9386 -0.2484
Dy 6.4319 -5.7698 -1.1544
Dy 4.7191 -1.9417 0.1494
Pr 3.4256 -6.5404 -3.2010
Pr 7.7253 -1.1712 2.1959
Pr 10.7759 -1.9015 -2.6415
Pr 2.8785 -4.8902 -0.5066
Pr 5.8232 -2.9221 -3.0221
Pr 0.3750 -5.8101 1.6364
Pr 8.2724 -2.8213 -0.4985
Pr 5.3277 -4.7895 2.0170

***

Stability, highest: w